No. 1
YFeB2 | GGA-PBE | optimized geometry

```
YFeB2
1.0
-2.299 2.412 -0.992
-0.710 0.441 -3.375
-4.426 -2.185 -1.146
B Fe Y
2 1 1
direct
0.695 0.695 0.915
0.305 0.305 0.085
0.000 0.000 0.000
0.500 0.500 0.500
```

## Properties
Energy relative to the lowest polymorph listed for this composition = 0.177 eV/atom
Electronic total energy = -7.3642 eV/atom
Space group = R-3m
Calculated volume = 12.2 Å³/atom
Calculated formation energy = -0.29 eV/atom

***

No. 2
LaZn2W | GGA-PBE | optimized geometry

```
LaZn2W
1.0
6.643 0.017 0.053
-2.648 4.432 -0.032
1.348 0.832 2.582
W La Zn
1 1 2
direct
0.500 0.500 0.000
0.000 0.500 0.500
0.000 0.000 0.000
0.500 0.000 0.500
```

## Properties
Energy relative to the lowest polymorph listed for this composition = 0.172 eV/atom
Electronic total energy = -4.6911 eV/atom
Space group = C2/m
Calculated volume = 19.0 Å³/atom
Calculated formation energy = 0.42 eV/atom

***

No. 3
KAc2Bi | GGA-PBE | optimized geometry

```
KAc2Bi
1.0
-1.818 4.031 0.601
-3.372 1.337 -2.600
-10.105 -3.223 7.619
Bi Ac K
1 2 1
direct
0.500 0.500 0.500
0.888 0.888 0.335
0.112 0.112 0.665
0.000 0.000 0.000
```

## Properties
Electronic total energy = -3.4701 eV/atom
Space group = R-3m
Calculated volume = 55.2 Å³/atom
Calculated formation energy = -0.17 eV/atom

***

No. 4
Tb2Th2Tc | GGA-PBE | optimized geometry

```
Tb2Th2Tc
1.0
-1.118 2.559 -4.089
-3.261 -3.494 -1.295
-6.369 6.246 8.648
Tb Tc Th
4 2 4
direct
0.177 0.177 0.354
0.427 0.927 0.854
0.823 0.823 0.646
0.073 0.573 0.146
0.750 0.250 0.500
0.500 0.500 0.000
0.931 0.431 0.862
0.569 0.069 0.138
0.681 0.681 0.362
0.319 0.319 0.638
```

## Properties
Electronic total energy = -6.8250 eV/atom
Space group = I4_1/amd
Calculated volume = 29.2 Å³/atom
Calculated formation energy = 0.07 eV/atom

***

No. 5
Pm5NdY2Sc | GGA-PBE | optimized geometry

```
Pm5NdY2Sc
1.0
5.383 0.000 0.000
-2.692 11.012 0.000
0.000 0.000 10.216
Nd Sc Y Pm
2 2 4 10
direct
0.399 0.799 0.508
0.601 0.201 0.008
0.218 0.436 0.009
0.782 0.564 0.509
0.118 0.235 0.757
0.882 0.765 0.257
0.117 0.233 0.259
0.883 0.767 0.759
0.625 0.249 0.508
0.279 0.558 0.697
0.500 0.000 0.758
0.002 0.004 0.508
0.500 0.000 0.258
0.722 0.444 0.822
0.721 0.442 0.197
0.278 0.556 0.322
0.375 0.751 0.008
0.998 0.996 0.008
```

## Properties
Electronic total energy = -5.1812 eV/atom
Space group = Cmc2_1
Calculated volume = 33.6 Å³/atom
Calculated formation energy = 0.13 eV/atom

***

No. 6
Sm3Ho4Sc | GGA-PBE | optimized geometry

```
Sm3Ho4Sc
1.0
3.372 0.000 -0.816
-1.185 10.367 -4.894
0.250 -2.401 8.410
Sm Ho Sc
3 4 1
direct
0.240 0.240 0.479
0.760 0.760 0.521
0.000 0.500 0.000
0.634 0.376 0.267
0.634 0.891 0.268
0.366 0.109 0.732
0.366 0.624 0.733
0.500 0.000 0.000
```

## Properties
Energy relative to the lowest polymorph listed for this composition = 0.106 eV/atom
Electronic total energy = -4.7186 eV/atom
Space group = Immm
Calculated volume = 31.8 Å³/atom
Calculated formation energy = 0.13 eV/atom

***

No. 7
YZnPd3 | GGA-PBE | optimized geometry

```
YZnPd3
1.0
-0.735 0.892 -4.904
-2.964 -4.064 -0.294
-4.007 2.842 1.118
Y Pd Zn
1 3 1
direct
0.000 0.000 0.000
0.000 0.500 0.000
0.500 0.000 0.000
0.000 0.000 0.500
0.500 0.500 0.500
```

## Properties
Energy relative to the lowest polymorph listed for this composition = 0.957 eV/atom
Electronic total energy = -4.0379 eV/atom
Space group = Pm-3m
Calculated volume = 25.6 Å³/atom
Calculated formation energy = 0.63 eV/atom

***

No. 8
LiTaS3 | GGA-PBE | optimized geometry

```
LiTaS3
1.0
5.967 0.000 1.542
2.983 5.453 0.771
0.407 0.000 6.343
S Ta Li
6 2 2
direct
0.935 0.637 0.764
0.780 0.000 0.232
0.572 0.363 0.764
0.428 0.637 0.236
0.220 0.000 0.768
0.065 0.363 0.236
0.835 0.330 0.000
0.165 0.670 0.000
0.342 0.315 0.500
0.658 0.685 0.500
```

## Properties
Energy relative to the lowest polymorph listed for this composition = 0.000 eV/atom
Electronic total energy = -6.2581 eV/atom
Space group = C2/m
Formation energy without anion corrections = -1.03 eV per atom
Calculated volume = 20.3 Å³/atom

***

No. 9
Cs2NaSn | GGA-PBE | optimized geometry

```
Cs2NaSn
1.0
-6.154 1.295 -3.483
5.070 -1.165 -9.390
-5.108 -11.065 4.911
Cs Na Sn
8 4 4
direct
0.250 0.419 0.829
0.250 0.919 0.829
0.714 0.126 0.745
0.214 0.374 0.255
0.750 0.081 0.171
0.750 0.581 0.171
0.286 0.874 0.255
0.786 0.626 0.745
0.000 0.281 0.500
0.500 0.781 0.500
0.500 0.219 0.500
0.000 0.719 0.500
0.672 0.463 0.427
0.828 0.963 0.427
0.172 0.037 0.573
0.328 0.537 0.573
```

## Properties
Energy relative to the lowest polymorph listed for this composition = 0.000 eV/atom
Electronic total energy = -1.8483 eV/atom
Space group = P2_1/c
Calculated volume = 57.5 Å³/atom
Calculated formation energy = -0.09 eV/atom

***

No. 10
Rb2Cd7Ag | GGA-PBE | optimized geometry

```
Rb2Cd7Ag
1.0
5.101 0.000 0.000
0.000 5.101 0.000
0.000 0.000 11.830
Ag Cd Rb
1 7 2
direct
0.500 0.500 0.000
0.000 0.500 0.632
0.500 0.000 0.368
0.000 0.000 0.000
0.000 0.000 0.500
0.500 0.000 0.121
0.000 0.500 0.879
0.500 0.500 0.500
0.000 0.500 0.244
0.500 0.000 0.756
```

## Properties
Electronic total energy = -1.1532 eV/atom
Space group = P-4m2
Calculated volume = 30.8 Å³/atom
Calculated formation energy = -0.03 eV/atom

***

No. 11
KRbZrS3 | GGA-PBE | optimized geometry

```
KRbZrS3
1.0
6.915 0.025 0.000
1.527 7.461 0.000
0.764 3.731 7.459
Rb S Zr K
2 6 2 2
direct
0.250 0.239 0.521
0.750 0.761 0.479
0.001 0.253 0.920
0.250 0.790 0.420
0.999 0.747 0.080
0.501 0.173 0.080
0.750 0.210 0.580
0.499 0.827 0.920
0.250 0.950 0.099
0.750 0.050 0.901
0.250 0.584 0.831
0.750 0.416 0.169
```

## Properties
Electronic total energy = -5.2912 eV/atom
Space group = C2/c
Formation energy without anion corrections = -1.46 eV per atom
Calculated volume = 32.0 Å³/atom

***

No. 12
Ga2Pd8S | GGA-PBE | optimized geometry

```
Ga2Pd8S
1.0
-3.125 -2.793 -0.635
1.120 -2.365 4.892
-3.515 6.803 1.528
Ga S Pd
2 1 8
direct
0.183 0.717 0.366
0.817 0.283 0.634
0.500 0.000 0.000
0.021 0.770 0.043
0.401 0.570 0.803
0.348 0.045 0.695
0.979 0.230 0.957
0.792 0.706 0.585
0.599 0.430 0.197
0.208 0.294 0.415
0.652 0.955 0.305
```

## Properties
Electronic total energy = -5.0997 eV/atom
Space group = C2/m
Formation energy without anion corrections = -0.40 eV per atom
Calculated volume = 15.3 Å³/atom

***

No. 13
KCuRe2F | GGA-PBE | optimized geometry

```
KCuRe2F
1.0
-0.002 -2.557 -3.217
-4.004 -2.856 2.272
-2.768 2.378 -1.889
Re F Cu K
2 1 1 1
direct
0.500 0.000 0.000
0.000 0.000 0.500
0.000 0.000 0.000
0.000 0.500 0.000
0.500 0.500 0.500
```

## Properties
Electronic total energy = -4.9162 eV/atom
Space group = P4/mmm
Formation energy without anion corrections = 1.48 eV per atom
Calculated volume = 18.3 Å³/atom

***

No. 14
TaCI2N | GGA-PBE | optimized geometry

```
TaCI2N
1.0
5.639 0.000 0.000
0.000 5.639 0.000
0.000 0.000 3.907
Ta I C N
1 2 1 1
direct
0.000 0.000 0.000
0.500 0.000 0.000
0.000 0.500 0.000
0.500 0.500 0.500
0.000 0.000 0.500
```

## Properties
Energy relative to the lowest polymorph listed for this composition = 0.000 eV/atom
Electronic total energy = -5.1174 eV/atom
Space group = P4/mmm
Formation energy without anion corrections = 1.38 eV per atom
Calculated volume = 24.8 Å³/atom

***

No. 15
TlSb4 | GGA-PBE | optimized geometry

```
TlSb4
1.0
-0.330 -5.628 0.382
5.602 -0.372 -0.636
0.659 0.342 5.602
Sb Tl
4 1
direct
0.500 0.000 0.500
0.000 0.000 0.000
0.000 0.500 0.500
0.500 0.500 0.000
0.500 0.500 0.500
```

## Properties
Energy relative to the lowest polymorph listed for this composition = 0.834 eV/atom
Electronic total energy = -2.7923 eV/atom
Space group = Pm-3m
Formation energy without anion corrections = 0.98 eV per atom
Calculated volume = 36.1 Å³/atom

***

No. 16
Zr6C5N | GGA-PBE | optimized geometry

```
Zr6C5N
1.0
5.697 0.139 0.866
1.399 4.835 2.818
0.096 0.053 5.765
Zr C N
6 5 1
direct
0.749 0.750 0.000
0.750 0.417 0.667
0.250 0.917 0.667
0.250 0.583 0.333
0.750 0.083 0.333
0.251 0.250 0.000
0.500 0.833 0.334
0.500 0.500 0.000
0.500 0.167 0.666
0.000 0.333 0.334
0.000 0.667 0.666
0.000 0.000 0.000
```

## Properties
Electronic total energy = -9.7983 eV/atom
Space group = C2/m
Formation energy without anion corrections = -0.99 eV per atom
Calculated volume = 13.0 Å³/atom

***

No. 17
Tm2FeNi | GGA-PBE | optimized geometry

```
Tm2FeNi
1.0
3.309 0.000 0.000
1.654 2.866 0.000
1.654 0.955 9.080
Ni Tm Fe
1 2 1
direct
0.500 0.500 0.500
0.903 0.903 0.292
0.097 0.097 0.708
0.000 0.000 0.000
```

## Properties
Energy relative to the lowest polymorph listed for this composition = 0.661 eV/atom
Electronic total energy = -5.3246 eV/atom
Space group = R-3m
Calculated volume = 21.5 Å³/atom
Calculated formation energy = 0.47 eV/atom

***

No. 18
PaFe2Cu | GGA-PBE | optimized geometry

```
PaFe2Cu
1.0
4.334 0.000 0.000
2.167 3.753 0.000
2.167 1.251 3.539
Cu Pa Fe
1 1 2
direct
0.500 0.500 0.500
0.000 0.000 0.000
0.250 0.250 0.250
0.750 0.750 0.750
```

## Properties
Energy relative to the lowest polymorph listed for this composition = 0.212 eV/atom
Electronic total energy = -7.5387 eV/atom
Space group = Fm-3m
Calculated volume = 14.4 Å³/atom
Calculated formation energy = 0.09 eV/atom

***

No. 19
YMg2Os | GGA-PBE | optimized geometry

```
YMg2Os
1.0
-0.579 -2.978 -1.551
2.627 -1.374 1.659
-1.927 -3.377 7.205
Os Mg Y
1 2 1
direct
0.000 0.527 0.473
0.000 0.956 0.044
0.500 0.208 0.291
0.500 0.809 0.692
```

## Properties
Energy relative to the lowest polymorph listed for this composition = 0.028 eV/atom
Electronic total energy = -5.2088 eV/atom
Space group = P4mm
Calculated volume = 21.6 Å³/atom
Calculated formation energy = 0.01 eV/atom

***

No. 20
LaPrHoTl | GGA-PBE | optimized geometry

```
LaPrHoTl
1.0
-4.566 -3.147 -0.566
1.702 -1.555 -5.075
3.347 -0.712 4.401
La Ho Pr Tl
1 1 1 1
direct
0.750 0.250 0.500
0.000 0.000 0.000
0.500 0.500 0.000
0.250 0.750 0.500
```

## Properties
Energy relative to the lowest polymorph listed for this composition = 0.060 eV/atom
Electronic total energy = -4.1887 eV/atom
Space group = F-43m
Calculated volume = 30.6 Å³/atom
Calculated formation energy = -0.03 eV/atom